Entry 1:
A relaxed structure of PSCl2, computed with PBE.

```
data_PSCl2
_space_group_name_H-M_alt 'F m -3 m'
_space_group_IT_number 225
_space_group_name_Hall '-F 4 2 3'
_cell_length_a 6.671
_cell_length_b 6.671
_cell_length_c 6.671
_cell_angle_alpha 90.00
_cell_angle_beta 90.00
_cell_angle_gamma 90.00
loop_
_atom_site_label
_atom_site_type_symbol
_atom_site_fract_x
_atom_site_fract_y
_atom_site_fract_z
P1 P 0.000 0.000 0.000
S1 S 0.000 0.000 0.500
Cl1 Cl 0.250 0.250 0.250
```

Output
The calculation puts the energy above the most stable polymorph in this dataset at 0.439 eV/atom. The calculation puts the uncorrected formation energy at 1021 meV/atom. The value obtained for the total magnetic moment is 0.2494 μB per atom. As for the density: 3.00 g/cm³.

Entry 2:
A relaxed structure of P2SCl, computed with PBE.

```
data_P2SCl
_space_group_name_H-M_alt 'F m -3 m'
_space_group_IT_number 225
_space_group_name_Hall '-F 4 2 3'
_cell_length_a 6.399
_cell_length_b 6.399
_cell_length_c 6.399
_cell_angle_alpha 90.00
_cell_angle_beta 90.00
_cell_angle_gamma 90.00
loop_
_atom_site_label
_atom_site_type_symbol
_atom_site_fract_x
_atom_site_fract_y
_atom_site_fract_z
P1 P 0.250 0.250 0.250
S1 S 0.000 0.000 0.000
Cl1 Cl 0.000 0.000 0.500
```

Output
The calculation puts the energy above the most stable polymorph in this dataset at 0.476 eV/atom. The calculation puts the uncorrected formation energy at 910 meV/atom. The value obtained for the total magnetic moment is 0.0000 μB per atom. As for the density: 3.28 g/cm³.

Entry 3:
A relaxed structure of PS2Cl, computed with PBE.

```
data_PS2Cl
_space_group_name_H-M_alt 'I -4 2 d'
_space_group_IT_number 122
_space_group_name_Hall 'I -4 2bw'
_cell_length_a 6.637
_cell_length_b 6.637
_cell_length_c 7.544
_cell_angle_alpha 90.00
_cell_angle_beta 90.00
_cell_angle_gamma 90.00
loop_
_atom_site_label
_atom_site_type_symbol
_atom_site_fract_x
_atom_site_fract_y
_atom_site_fract_z
P1 P 0.000 0.000 0.000
S1 S 0.164 0.250 0.125
Cl1 Cl 0.000 0.000 0.500
```

Output
The calculation puts the energy above the most stable polymorph in this dataset at 0.483 eV/atom. The calculation puts the uncorrected formation energy at 227 meV/atom. The value obtained for the total magnetic moment is 0.0000 μB per atom. As for the density: 2.61 g/cm³.